Material: As2PAu
Method: DFT, PBEsol
State: relaxed

Calculated values
SG: No. 12
DFT formation energy in eV per atom: 0.264

Unit cell a=5.844 b=5.844 c=3.996 alpha=106.80 beta=106.80 gamma=34.74
Positions (direct):
As: 0.193 0.193 0.265
As: 0.807 0.807 0.735
P: 0.500 0.500 0.000
Au: 0.000 0.000 0.500


Material: As2PAu
Method: DFT, PBEsol
State: relaxed

Calculated values
SG: No. 12
DFT formation energy in eV per atom: 0.448

Unit cell a=5.338 b=5.338 c=2.844 alpha=99.76 beta=99.76 gamma=116.59
Positions (direct):
As: 0.000 0.500 0.000
As: 0.500 0.000 0.000
P: 0.000 0.000 0.500
Au: 0.500 0.500 0.500


Material: AsPRuAu2
Method: DFT, PBEsol
State: relaxed

Calculated values
SG: No. 123
DFT formation energy in eV per atom: 0.671

Unit cell a=4.634 b=4.634 c=4.349 alpha=90.00 beta=90.00 gamma=90.00
Positions (direct):
As: 0.000 0.000 0.000
P: 0.500 0.500 0.500
Ru: 0.500 0.500 0.000
Au: 0.000 0.500 0.500
Au: 0.500 0.000 0.500